No. 1
This record from Alexandria describes LiBiIN2 after structural relaxation. The functional is GGA-PBE.

Cell lengths 4.380, 4.380, 7.114 Å; angles 90.00, 90.00, 90.00 degrees
Positions (direct):
Li: 0.000 0.000 0.000
Bi: 0.500 0.500 0.500
I: 0.500 0.500 0.000
N: 0.000 0.500 0.500
N: 0.500 0.000 0.500

Results
The volume comes out at 136.5 Å³/cell. The formation energy from raw total energies comes out at 0.986 eV/atom. For the distance to the lowest polymorph of the same formula, the calculation gives 0 meV/atom.

=====

No. 2
This record from Alexandria describes MnCo2Os after structural relaxation. The functional is GGA-PBE.

Cell lengths 4.425, 4.425, 4.418 Å; angles 99.85, 99.85, 34.27 degrees
Positions (direct):
Mn: 0.000 0.000 0.000
Co: 0.250 0.250 0.746
Co: 0.750 0.750 0.254
Os: 0.500 0.500 0.500

Results
The volume comes out at 47.9 Å³/cell. Its formation enthalpy at 0 K is 0.120 eV per atom. For the distance to the lowest polymorph of the same formula, the calculation gives 61 meV/atom.

=====

No. 3
This record from Alexandria describes Fe2CoRu after structural relaxation. The functional is GGA-PBE.

Cell lengths 2.836, 2.836, 6.029 Å; angles 90.00, 90.00, 90.00 degrees
Positions (direct):
Fe: 0.000 0.000 0.000
Fe: 0.500 0.500 0.241
Co: 0.500 0.500 0.773
Ru: 0.000 0.000 0.496

Results
The volume comes out at 48.5 Å³/cell. Its formation enthalpy at 0 K is 0.106 eV per atom.

=====

No. 4
This record from Alexandria describes PuHgPb6 after structural relaxation. The functional is GGA-PBE.

Cell lengths 6.724, 6.724, 5.824 Å; angles 90.00, 90.00, 115.84 degrees
Positions (direct):
Pu: 0.000 0.000 0.000
Hg: 0.500 0.500 0.000
Pb: 0.000 0.500 0.000
Pb: 0.235 0.765 0.500
Pb: 0.262 0.262 0.500
Pb: 0.500 0.000 0.000
Pb: 0.738 0.738 0.500
Pb: 0.765 0.235 0.500

Results
The volume comes out at 237.0 Å³/cell. Its formation enthalpy at 0 K is -0.006 eV per atom.

=====

No. 5
This record from Alexandria describes CrRuPt after structural relaxation. The functional is GGA-PBE.

Cell lengths 4.198, 4.198, 2.746 Å; angles 90.00, 90.00, 120.00 degrees
Positions (direct):
Cr: 0.000 0.000 0.000
Ru: 0.333 0.667 0.000
Pt: 0.667 0.333 0.500

Results
The volume comes out at 41.9 Å³/cell. Its formation enthalpy at 0 K is 0.057 eV per atom. For the distance to the lowest polymorph of the same formula, the calculation gives 149 meV/atom.

=====

No. 6
This record from Alexandria describes Be2AlAg after structural relaxation. The functional is GGA-PBE.

Cell lengths 4.168, 4.168, 2.955 Å; angles 90.00, 90.00, 100.06 degrees
Positions (direct):
Be: 0.000 0.500 0.000
Be: 0.500 0.000 0.000
Al: 0.000 0.000 0.500
Ag: 0.500 0.500 0.500

Results
The volume comes out at 50.5 Å³/cell. Its formation enthalpy at 0 K is 0.224 eV per atom.

=====

No. 7
This record from Alexandria describes VTcRu4 after structural relaxation. The functional is GGA-PBE.

Cell lengths 4.961, 4.961, 7.740 Å; angles 91.63, 91.63, 117.12 degrees
Positions (direct):
V: 0.082 0.918 0.750
V: 0.918 0.082 0.250
Tc: 0.374 0.626 0.250
Tc: 0.626 0.374 0.750
Ru: 0.048 0.279 0.554
Ru: 0.190 0.499 0.887
Ru: 0.279 0.048 0.054
Ru: 0.499 0.190 0.387
Ru: 0.501 0.810 0.613
Ru: 0.721 0.952 0.946
Ru: 0.810 0.501 0.113
Ru: 0.952 0.721 0.446

Results
The volume comes out at 169.3 Å³/cell. Its formation enthalpy at 0 K is 0.053 eV per atom.

=====

No. 8
This record from Alexandria describes ScZnB2 after structural relaxation. The functional is GGA-PBE.

Cell lengths 7.538, 7.538, 7.538 Å; angles 150.45, 150.45, 42.28 degrees
Positions (direct):
Sc: 0.375 0.625 0.750
Sc: 0.625 0.375 0.250
Zn: 0.125 0.875 0.250
Zn: 0.875 0.125 0.750
B: 0.000 0.000 0.000
B: 0.000 0.000 0.500
B: 0.000 0.500 0.000
B: 0.500 0.000 0.500

Results
The volume comes out at 103.9 Å³/cell. Its formation enthalpy at 0 K is 0.265 eV per atom.

=====

No. 9
This record from Alexandria describes LiCa4 after structural relaxation. The functional is GGA-PBE.

Cell lengths 6.458, 6.458, 6.458 Å; angles 109.47, 109.47, 109.47 degrees
Positions (direct):
Li: 0.000 0.000 0.000
Ca: 0.000 0.000 0.500
Ca: 0.000 0.500 0.000
Ca: 0.500 0.000 0.000
Ca: 0.500 0.500 0.500

Results
The volume comes out at 207.4 Å³/cell. Its formation enthalpy at 0 K is 0.289 eV per atom. For the distance to the lowest polymorph of the same formula, the calculation gives 282 meV/atom.

=====

No. 10
This record from Alexandria describes Ag3AsS3 after structural relaxation. The functional is GGA-PBE.

Cell lengths 8.530, 4.301, 10.361 Å; angles 90.00, 111.49, 90.00 degrees
Positions (direct):
Ag: 0.036 0.250 0.258
Ag: 0.113 0.750 0.068
Ag: 0.248 0.250 0.908
Ag: 0.752 0.750 0.092
Ag: 0.887 0.250 0.932
Ag: 0.964 0.750 0.742
As: 0.339 0.750 0.592
As: 0.661 0.250 0.408
S: 0.103 0.750 0.424
S: 0.261 0.250 0.153
S: 0.277 0.750 0.787
S: 0.723 0.250 0.213
S: 0.739 0.750 0.847
S: 0.897 0.250 0.576

Results
The volume comes out at 353.7 Å³/cell. The formation energy from raw total energies comes out at 0.051 eV/atom. For the distance to the lowest polymorph of the same formula, the calculation gives 148 meV/atom.

=====

No. 11
This record from Alexandria describes AcLa5Tl6 after structural relaxation. The functional is GGA-PBE.

Cell lengths 9.006, 9.006, 7.961 Å; angles 90.00, 90.00, 143.11 degrees
Positions (direct):
Ac: 0.000 0.000 0.000
La: 0.000 0.000 0.500
La: 0.333 0.667 0.000
La: 0.334 0.666 0.500
La: 0.666 0.334 0.500
La: 0.667 0.333 0.000
Tl: 0.169 0.831 0.254
Tl: 0.169 0.831 0.746
Tl: 0.500 0.500 0.256
Tl: 0.500 0.500 0.744
Tl: 0.831 0.169 0.254
Tl: 0.831 0.169 0.746

Results
The volume comes out at 387.6 Å³/cell. Its formation enthalpy at 0 K is -0.409 eV per atom.

=====

No. 12
This record from Alexandria describes KCa2Sb after structural relaxation. The functional is GGA-PBE.

Cell lengths 4.362, 4.362, 8.791 Å; angles 90.00, 90.00, 90.00 degrees
Positions (direct):
K: 0.000 0.000 0.000
Ca: 0.000 0.000 0.388
Ca: 0.500 0.500 0.648
Sb: 0.500 0.500 0.294

Results
The volume comes out at 167.3 Å³/cell. The formation energy from raw total energies comes out at -0.395 eV/atom.

=====

No. 13
This record from Alexandria describes BeBiIrAu2 after structural relaxation. The functional is GGA-PBE.

Cell lengths 5.151, 5.151, 4.115 Å; angles 90.00, 90.00, 90.00 degrees
Positions (direct):
Be: 0.000 0.000 0.000
Bi: 0.500 0.500 0.000
Ir: 0.000 0.000 0.500
Au: 0.000 0.500 0.500
Au: 0.500 0.000 0.500

Results
The volume comes out at 109.2 Å³/cell. Its formation enthalpy at 0 K is 0.565 eV per atom.

=====

No. 14
This record from Alexandria describes Pm3Dy8Er2 after structural relaxation. The functional is GGA-PBE.

Cell lengths 10.676, 10.676, 7.967 Å; angles 94.25, 94.25, 27.27 degrees
Positions (direct):
Pm: 0.000 0.000 0.000
Pm: 0.461 0.461 0.693
Pm: 0.539 0.539 0.307
Dy: 0.078 0.078 0.615
Dy: 0.156 0.156 0.230
Dy: 0.307 0.307 0.461
Dy: 0.383 0.383 0.078
Dy: 0.617 0.617 0.922
Dy: 0.693 0.693 0.539
Dy: 0.844 0.844 0.770
Dy: 0.922 0.922 0.385
Er: 0.231 0.231 0.846
Er: 0.769 0.769 0.154

Results
The volume comes out at 414.9 Å³/cell. Its formation enthalpy at 0 K is 0.020 eV per atom.

=====

No. 15
This record from Alexandria describes TiZnCu2Ge after structural relaxation. The functional is GGA-PBE.

Cell lengths 4.645, 4.645, 4.947 Å; angles 90.00, 90.00, 90.00 degrees
Positions (direct):
Ti: 0.000 0.000 0.000
Zn: 0.000 0.000 0.500
Cu: 0.000 0.500 0.000
Cu: 0.500 0.000 0.000
Ge: 0.500 0.500 0.500

Results
The volume comes out at 106.7 Å³/cell. Its formation enthalpy at 0 K is 1.122 eV per atom.

=====

No. 16
This record from Alexandria describes NaCdPb2 after structural relaxation. The functional is GGA-PBE.

Cell lengths 4.934, 4.934, 4.541 Å; angles 90.00, 90.00, 90.00 degrees
Positions (direct):
Na: 0.000 0.000 0.000
Cd: 0.500 0.500 0.000
Pb: 0.000 0.500 0.500
Pb: 0.500 0.000 0.500

Results
The volume comes out at 110.5 Å³/cell. Its formation enthalpy at 0 K is -0.083 eV per atom.

=====

No. 17
This record from Alexandria describes CaLaMn2 after structural relaxation. The functional is GGA-PBE.

Cell lengths 3.335, 3.335, 8.867 Å; angles 90.00, 90.00, 90.00 degrees
Positions (direct):
Ca: 0.000 0.000 0.000
La: 0.500 0.500 0.380
Mn: 0.000 0.000 0.638
Mn: 0.500 0.500 0.742

Results
The volume comes out at 98.6 Å³/cell. Its formation enthalpy at 0 K is 0.288 eV per atom.

=====

No. 18
This record from Alexandria describes Sc2Zn2Au after structural relaxation. The functional is GGA-PBE.

Cell lengths 7.006, 7.006, 3.276 Å; angles 90.00, 90.00, 145.25 degrees
Positions (direct):
Sc: 0.117 0.883 0.000
Sc: 0.883 0.117 0.000
Zn: 0.300 0.700 0.500
Zn: 0.700 0.300 0.500
Au: 0.500 0.500 0.500

Results
The volume comes out at 91.7 Å³/cell. Its formation enthalpy at 0 K is -0.473 eV per atom. For the distance to the lowest polymorph of the same formula, the calculation gives 35 meV/atom.

=====

No. 19
This record from Alexandria describes YZnAs3 after structural relaxation. The functional is GGA-PBE.

Cell lengths 5.420, 5.420, 5.420 Å; angles 90.00, 90.00, 90.00 degrees
Positions (direct):
Y: 0.000 0.000 0.000
Zn: 0.500 0.500 0.500
As: 0.000 0.000 0.500
As: 0.000 0.500 0.000
As: 0.500 0.000 0.000

Results
The volume comes out at 159.2 Å³/cell. Its formation enthalpy at 0 K is 0.512 eV per atom. For the distance to the lowest polymorph of the same formula, the calculation gives 483 meV/atom.

=====

No. 20
This record from Alexandria describes Pr12Ho3Tm after structural relaxation. The functional is GGA-PBE.

Cell lengths 5.183, 5.183, 20.672 Å; angles 90.00, 90.00, 90.00 degrees
Positions (direct):
Pr: 0.000 0.000 0.000
Pr: 0.000 0.000 0.250
Pr: 0.000 0.000 0.500
Pr: 0.000 0.000 0.750
Pr: 0.000 0.500 0.124
Pr: 0.000 0.500 0.375
Pr: 0.000 0.500 0.625
Pr: 0.000 0.500 0.876
Pr: 0.500 0.000 0.124
Pr: 0.500 0.000 0.375
Pr: 0.500 0.000 0.625
Pr: 0.500 0.000 0.876
Ho: 0.500 0.500 0.250
Ho: 0.500 0.500 0.500
Ho: 0.500 0.500 0.750
Tm: 0.500 0.500 0.000

Results
The volume comes out at 555.4 Å³/cell. Its formation enthalpy at 0 K is 0.012 eV per atom.

=====

M_tot in μB/cell, matching the order above: 1.861 3.814 6.757 6.104 0.012 0.000 0.000 0.000 0.000 0.000 0.000 0.000 0.002 0.000 1.325 0.000 0.620 0.002 0.000 0.000